Record 1
A crystal of LiInCl relaxed with PBEsol, computed with meta-GGA SCAN.

Values from the calculation:
The value obtained for the total moment is 0.53 μB per formula unit. For the energy above the most stable polymorph in this dataset, the calculation gives 0 meV per atom. Its raw formation energy is -1.09 eV/f.u.

```
LiInCl
1.0
-2.5778 -3.5822 2.1569
-0.3756 -4.3968 -2.1577
2.3193 -3.8827 1.9169
Li In Cl
1 1 1
direct
0.5000 0.5000 0.5000
0.0000 0.0000 0.0000
0.7500 0.7500 0.7500
```



Record 2
A crystal of ZnCO2 relaxed with PBEsol, computed with meta-GGA SCAN.

Values from the calculation:
The value obtained for the total moment is 0.00 μB per formula unit. Its raw formation energy is 4.32 eV/f.u.

```
ZnCO2
1.0
3.6315 0.0000 0.0000
1.8158 3.1450 0.0000
1.8158 1.0483 2.9651
Zn C O
1 1 2
direct
0.5000 0.5000 0.5000
0.0000 0.0000 0.0000
0.2500 0.2500 0.2500
0.7500 0.7500 0.7500
```



Record 3
A crystal of Zr2FeCo relaxed with PBEsol, computed with meta-GGA SCAN.

Values from the calculation:
The value obtained for the total moment is 1.35 μB per formula unit. The formation enthalpy at 0 K comes out at -286 meV/atom. For the energy above the most stable polymorph in this dataset, the calculation gives 6 meV per atom.

```
Zr2FeCo
1.0
-1.5079 -2.3984 -1.3565
-1.1731 -1.5129 3.9845
-3.6944 2.4216 -0.1693
Co Fe Zr
1 1 2
direct
0.5000 0.5000 0.5000
0.5000 0.0000 0.0000
0.0000 0.0000 0.5000
0.0000 0.5000 0.0000
```



Record 4
A crystal of Ca5La relaxed with PBEsol, computed with meta-GGA SCAN.

Values from the calculation:
The value obtained for the total moment is 0.72 μB per formula unit. The formation enthalpy at 0 K comes out at 56 meV/atom. For the energy above the most stable polymorph in this dataset, the calculation gives 14 meV per atom.

```
Ca5La
1.0
-5.7451 -1.2898 -2.0405
2.4850 -4.4280 -4.1975
-1.7458 -1.8420 6.0796
Ca La
5 1
direct
0.0000 0.3280 0.3280
0.0000 0.6720 0.0000
0.0000 0.0000 0.6720
0.5000 0.3333 0.6667
0.5000 0.6667 0.3333
0.5000 0.0000 0.0000
```